# 1
## NaMnPd (PBE-GGA)

Data for a geometry-optimized NaMnPd structure.

Properties
ΔH_f (0 K), meV/atom: 280

```
NaMnPd
1.0
-7.181 -6.990 2.736
-5.323 -0.129 -0.062
4.555 -0.184 -2.751
Mn Pd Na
2 2 2
direct
0.440 0.610 0.390 Mn
0.594 0.081 0.919 Mn
0.559 0.815 0.185 Pd
0.826 0.276 0.724 Pd
0.971 0.432 0.568 Na
0.205 0.514 0.486 Na
```

# 2
## NaMnPd (PBE-GGA)

Data for a geometry-optimized NaMnPd structure.

Properties
ΔH_f (0 K), meV/atom: 83

```
NaMnPd
1.0
5.618 0.000 0.000
0.000 5.524 0.000
0.000 0.000 7.303
Pd Mn Na
4 4 4
direct
0.250 0.250 0.250 Pd
0.250 0.750 0.750 Pd
0.750 0.750 0.750 Pd
0.750 0.250 0.250 Pd
0.500 0.000 0.500 Mn
0.500 0.500 0.500 Mn
0.000 0.000 0.000 Mn
0.000 0.500 0.000 Mn
0.500 0.750 0.116 Na
0.000 0.750 0.384 Na
0.000 0.250 0.616 Na
0.500 0.250 0.884 Na
```

# 3
## NaMnPd (PBE-GGA)

Data for a geometry-optimized NaMnPd structure.

Properties
ΔH_f (0 K), meV/atom: 124

```
NaMnPd
1.0
5.784 0.054 0.333
2.012 4.447 0.735
-0.260 -0.640 4.622
Pd Na Mn
2 2 2
direct
0.996 0.601 0.144 Pd
0.996 0.949 0.644 Pd
0.589 0.698 0.644 Na
0.590 0.258 0.144 Na
0.160 0.366 0.644 Mn
0.160 0.020 0.144 Mn
```

# 4
## NaMnPd (PBE-GGA)

Data for a geometry-optimized NaMnPd structure.

Properties
ΔH_f (0 K), meV/atom: 59

```
NaMnPd
1.0
-3.739 -0.533 -2.469
0.343 -3.006 0.129
-9.303 -0.452 14.186
Mn Pd Na
4 4 4
direct
0.244 0.750 0.179 Mn
0.744 0.750 0.321 Mn
0.256 0.250 0.679 Mn
0.756 0.250 0.821 Mn
0.244 0.250 0.307 Pd
0.744 0.250 0.193 Pd
0.756 0.750 0.693 Pd
0.256 0.750 0.807 Pd
0.752 0.250 0.549 Na
0.748 0.750 0.049 Na
0.252 0.250 0.951 Na
0.248 0.750 0.451 Na
```

# 5
## NaMnPd (PBE-GGA)

Data for a geometry-optimized NaMnPd structure.

Properties
ΔH_f (0 K), meV/atom: 284

```
NaMnPd
1.0
-2.938 -4.414 -0.606
2.365 0.696 7.268
-1.909 2.098 0.500
Pd Mn Na
2 2 2
direct
0.568 0.926 0.455 Pd
0.087 0.671 0.726 Pd
0.409 0.533 0.411 Mn
0.671 0.681 0.028 Mn
0.759 0.309 0.059 Na
0.129 0.064 0.086 Na
```

# 6
## NaMnPd (PBE-GGA)

Data for a geometry-optimized NaMnPd structure.

Properties
ΔH_f (0 K), meV/atom: 205

```
NaMnPd
1.0
-7.708 0.525 -7.459
0.577 -2.782 -0.789
-2.900 -1.165 1.986
Na Pd Mn
2 2 2
direct
0.731 0.474 0.840 Na
0.433 0.976 0.487 Na
0.920 0.977 0.245 Pd
0.244 0.478 0.082 Pd
0.148 0.979 0.631 Mn
0.016 0.478 0.696 Mn
```

# 7
## NaMnPd (PBE-GGA)

Data for a geometry-optimized NaMnPd structure.

Properties
ΔH_f (0 K), meV/atom: 264

```
NaMnPd
1.0
2.037 5.834 -4.821
-2.444 -7.398 0.855
-2.882 0.943 -0.077
Mn Na Pd
2 2 2
direct
0.044 0.956 0.750 Mn
0.956 0.044 0.250 Mn
0.216 0.784 0.250 Na
0.784 0.216 0.750 Na
0.587 0.413 0.250 Pd
0.413 0.587 0.750 Pd
```

# 8
## Na2MnPd2 (PBE-GGA)

Data for a geometry-optimized Na2MnPd2 structure.

Properties
ΔH_f (0 K), meV/atom: 52

```
Na2MnPd2
1.0
6.595 0.000 0.000
0.000 6.595 0.000
0.000 0.000 4.729
Pd Mn Na
4 2 4
direct
0.859 0.641 0.000 Pd
0.641 0.141 0.000 Pd
0.359 0.859 0.000 Pd
0.141 0.359 0.000 Pd
0.500 0.500 0.000 Mn
0.000 0.000 0.000 Mn
0.832 0.332 0.500 Na
0.332 0.168 0.500 Na
0.168 0.668 0.500 Na
0.668 0.832 0.500 Na
```

# 9
## NaMnPd (PBE-GGA)

Data for a geometry-optimized NaMnPd structure.

Properties
ΔH_f (0 K), meV/atom: 332

```
NaMnPd
1.0
13.847 0.000 -0.003
4.306 1.466 -2.379
-4.306 1.466 2.379
Na Mn Pd
2 2 2
direct
0.839 0.386 0.614 Na
0.198 0.394 0.606 Na
0.556 0.384 0.616 Mn
0.635 0.920 0.080 Mn
0.396 0.879 0.121 Pd
0.970 0.956 0.044 Pd
```

# 10
## Na2MnPd (PBE-GGA)

Data for a geometry-optimized Na2MnPd structure.

Properties
ΔH_f (0 K), meV/atom: 448

```
Na2MnPd
1.0
-1.992 -3.957 2.006
-4.627 0.098 1.493
-3.390 -2.509 -2.421
Na Pd Mn
2 1 1
direct
0.750 0.750 0.750 Na
0.250 0.250 0.250 Na
0.500 0.500 0.500 Pd
0.000 0.000 0.000 Mn
```

# 11
## Na2MnPd (PBE-GGA)

Data for a geometry-optimized Na2MnPd structure.

Properties
ΔH_f (0 K), meV/atom: 460

```
Na2MnPd
1.0
8.284 0.000 0.000
0.000 8.284 0.000
4.142 4.142 2.654
Pd Na Mn
2 4 2
direct
0.000 0.000 0.000 Pd
0.750 0.250 0.500 Pd
0.661 0.125 0.250 Na
0.089 0.625 0.250 Na
0.875 0.911 0.750 Na
0.375 0.339 0.750 Na
0.250 0.750 0.500 Mn
0.500 0.500 0.000 Mn
```

# 12
## NaMnPd (PBE-GGA)

Data for a geometry-optimized NaMnPd structure.

Properties
ΔH_f (0 K), meV/atom: 1088

```
NaMnPd
1.0
-2.539 -1.383 4.323
1.791 -3.650 -3.244
8.311 -0.203 4.816
Pd Mn Na
2 2 2
direct
0.000 0.000 0.000 Pd
0.000 0.000 0.500 Pd
0.000 0.000 0.250 Mn
0.000 0.000 0.750 Mn
0.667 0.333 0.750 Na
0.333 0.667 0.250 Na
```

# 13
## NaMnPd (PBE-GGA)

Data for a geometry-optimized NaMnPd structure.

Properties
ΔH_f (0 K), meV/atom: 144

```
NaMnPd
1.0
-3.336 -0.167 3.367
1.063 -3.900 -2.481
3.818 -1.325 3.718
Na Mn Pd
2 2 2
direct
0.000 0.000 0.750 Na
0.000 0.000 0.250 Na
0.667 0.333 0.500 Mn
0.333 0.667 0.000 Mn
0.333 0.667 0.500 Pd
0.667 0.333 0.000 Pd
```

# 14
## NaMnPd (PBE-GGA)

Data for a geometry-optimized NaMnPd structure.

Properties
ΔH_f (0 K), meV/atom: 301

```
NaMnPd
1.0
7.246 -0.011 -0.008
-0.688 3.091 0.000
-0.011 -0.002 4.339
Na Mn Pd
2 2 2
direct
0.585 0.394 0.499 Na
0.577 0.890 0.999 Na
0.172 0.188 0.994 Mn
0.991 0.597 0.993 Mn
0.250 0.727 0.495 Pd
0.917 0.060 0.493 Pd
```

# 15
## NaMn3Pd12 (PBE-GGA)

Data for a geometry-optimized NaMn3Pd12 structure.

Properties
ΔH_f (0 K), meV/atom: -167

```
NaMn3Pd12
1.0
-1.719 1.085 -3.390
-0.630 -3.798 -0.895
-13.975 0.603 7.279
Pd Mn Na
12 3 1
direct
0.500 0.500 0.000 Pd
0.500 0.000 0.623 Pd
0.000 0.500 0.132 Pd
0.500 0.500 0.500 Pd
0.500 0.500 0.746 Pd
0.500 0.500 0.254 Pd
0.000 0.500 0.377 Pd
0.500 0.000 0.377 Pd
0.000 0.500 0.868 Pd
0.000 0.500 0.623 Pd
0.500 0.000 0.868 Pd
0.500 0.000 0.132 Pd
0.000 0.000 0.747 Mn
0.000 0.000 0.253 Mn
0.000 0.000 0.500 Mn
0.000 0.000 0.000 Na
```

# 16
## NaMnPd (PBE-GGA)

Data for a geometry-optimized NaMnPd structure.

Properties
ΔH_f (0 K), meV/atom: 744

```
NaMnPd
1.0
-3.875 0.869 2.233
2.381 -3.766 0.949
1.327 1.292 1.799
Pd Na Mn
1 1 1
direct
0.333 0.667 0.000 Pd
0.667 0.333 0.500 Na
0.000 0.000 0.000 Mn
```

# 17
## NaMnPd (PBE-GGA)

Data for a geometry-optimized NaMnPd structure.

Properties
ΔH_f (0 K), meV/atom: 360

```
NaMnPd
1.0
2.846 -0.001 -0.019
0.001 6.975 -0.003
-1.398 0.307 5.675
Pd Na Mn
2 2 2
direct
0.061 0.643 0.753 Pd
0.593 0.969 0.816 Pd
0.330 0.842 0.290 Na
0.712 0.332 0.056 Na
0.448 0.414 0.530 Mn
0.970 0.204 0.572 Mn
```

# 18
## NaMnPd (PBE-GGA)

Data for a geometry-optimized NaMnPd structure.

Properties
ΔH_f (0 K), meV/atom: 209

```
NaMnPd
1.0
-5.566 -8.638 0.778
-2.132 -2.958 -3.412
4.244 1.486 2.172
Na Mn Pd
2 2 2
direct
0.893 0.454 0.546 Na
0.107 0.546 0.454 Na
0.514 0.162 0.838 Mn
0.486 0.838 0.162 Mn
0.702 0.335 0.665 Pd
0.298 0.665 0.335 Pd
```

# 19
## NaMnPd (PBE-GGA)

Data for a geometry-optimized NaMnPd structure.

Properties
ΔH_f (0 K), meV/atom: 317

```
NaMnPd
1.0
3.128 0.000 0.000
0.000 3.128 0.000
0.000 0.000 11.408
Mn Na Pd
2 2 2
direct
0.500 0.500 0.500 Mn
0.000 0.000 0.500 Mn
0.000 0.500 0.139 Na
0.500 0.000 0.861 Na
0.000 0.500 0.686 Pd
0.500 0.000 0.314 Pd
```

# 20
## NaMn2RePd (PBE-GGA)

Data for a geometry-optimized NaMn2RePd structure.

Properties
ΔH_f (0 K), meV/atom: 948

```
NaMn2RePd
1.0
4.624 0.000 0.000
0.000 5.018 0.000
0.000 0.000 4.624
Mn Re Pd Na
2 1 1 1
direct
0.500 0.000 0.000 Mn
0.000 0.000 0.500 Mn
0.000 0.000 0.000 Re
0.000 0.500 0.000 Pd
0.500 0.500 0.500 Na
```

# 21
## NaMnTcPd2 (PBE-GGA)

Data for a geometry-optimized NaMnTcPd2 structure.

Properties
ΔH_f (0 K), meV/atom: 806

```
NaMnTcPd2
1.0
4.933 0.000 0.000
0.000 4.457 0.000
0.000 0.000 4.933
Tc Mn Pd Na
1 1 2 1
direct
0.000 0.000 0.000 Tc
0.000 0.500 0.000 Mn
0.000 0.000 0.500 Pd
0.500 0.000 0.000 Pd
0.500 0.500 0.500 Na
```

# 22
## NaTiMnPd2 (PBE-GGA)

Data for a geometry-optimized NaTiMnPd2 structure.

Properties
ΔH_f (0 K), meV/atom: 1181

```
NaTiMnPd2
1.0
-3.452 0.811 -2.907
-1.751 -4.245 0.895
-2.483 1.749 3.436
Pd Na Mn Ti
2 1 1 1
direct
0.500 0.000 0.000 Pd
0.000 0.000 0.500 Pd
0.000 0.000 0.000 Na
0.500 0.500 0.500 Mn
0.000 0.500 0.000 Ti
```

# 23
## Na3PmMn2S6 (PBE-GGA)

Data for a geometry-optimized Na3PmMn2S6 structure.

Properties
Formation energy without anion corrections, eV per atom: -1.0894

```
Na3PmMn2S6
1.0
-1.434 -6.371 -0.087
4.485 2.310 4.147
-5.803 2.384 3.224
Mn Na Pm S
2 3 1 6
direct
0.333 0.667 0.000 Mn
0.667 0.333 0.000 Mn
0.838 0.162 0.500 Na
0.162 0.838 0.500 Na
0.500 0.500 0.500 Na
0.000 0.000 0.000 Pm
0.295 0.295 0.786 S
0.705 0.705 0.214 S
0.442 0.075 0.210 S
0.075 0.442 0.210 S
0.558 0.925 0.790 S
0.925 0.558 0.790 S
```

# 24
## Na3Pm2MnSe6 (PBE-GGA)

Data for a geometry-optimized Na3Pm2MnSe6 structure.

Properties
Formation energy without anion corrections, eV per atom: -1.3138

```
Na3Pm2MnSe6
1.0
7.148 -0.024 0.004
-3.593 6.179 0.004
-1.182 -2.046 6.996
Se Na Pm Mn
6 3 2 1
direct
0.389 0.079 0.230 Se
0.921 0.611 0.770 Se
0.776 0.776 0.215 Se
0.079 0.389 0.230 Se
0.611 0.921 0.770 Se
0.224 0.224 0.785 Se
0.500 0.500 0.500 Na
0.831 0.169 0.500 Na
0.169 0.831 0.500 Na
0.668 0.332 0.000 Pm
0.332 0.668 0.000 Pm
0.000 0.000 0.000 Mn
```

# 25
## Na3PmMn2Se6 (PBE-GGA)

Data for a geometry-optimized Na3PmMn2Se6 structure.

Properties
Formation energy without anion corrections, eV per atom: -0.9978

```
Na3PmMn2Se6
1.0
6.824 -0.009 -0.009
-3.418 5.906 -0.009
-1.146 -1.985 7.057
Se Na Mn Pm
6 3 2 1
direct
0.074 0.440 0.214 Se
0.706 0.706 0.215 Se
0.560 0.926 0.786 Se
0.926 0.560 0.786 Se
0.294 0.294 0.785 Se
0.440 0.074 0.214 Se
0.840 0.160 0.500 Na
0.500 0.500 0.500 Na
0.160 0.840 0.500 Na
0.667 0.333 0.000 Mn
0.333 0.667 0.000 Mn
0.000 0.000 0.000 Pm
```

Values for M_tot, μB per formula unit, ordered as above
0.00, 4.33, 4.36, 4.36, 0.00, 0.00, 0.00, 4.72, 0.00, 4.58, 4.70, 4.94, 4.49, 0.00, 13.87, 0.00, 0.68, 0.00, 0.25, 5.38, 2.31, 1.86, 8.00, 4.00, 8.00
Values for ρ, kg/m³, ordered as above
5767, 5403, 5056, 5279, 5753, 5303, 6249, 5066, 6341, 4233, 3781, 2720, 5724, 6301, 9875, 6596, 5443, 6128, 5486, 6584, 5952, 5717, 3473, 4778, 4663